VASP calculation (PBE-GGA) on crystalline AcCe2Al9 at its relaxed geometry.

Output
As for the density of states at the Fermi level: 12.71 states/eV/f.u. The energy relative to the elements is -0.357 eV/atom.

Cell and atoms, written as POSCAR:
```
AcCe2Al9
1.0
2.8578 1.6500 8.8879
-2.8578 1.6500 8.8879
0.0000 -3.2999 8.8879
Ac Ce Al
1 2 9
direct
0.0000 0.0000 0.0000
0.1429 0.1429 0.1429
0.8571 0.8571 0.8571
0.0759 0.5879 0.5879
0.3359 0.3359 0.3359
0.4121 0.4121 0.9241
0.4121 0.9241 0.4121
0.5000 0.5000 0.5000
0.5879 0.0759 0.5879
0.5879 0.5879 0.0759
0.6641 0.6641 0.6641
0.9241 0.4121 0.4121
```